## ZnCo2Ag (GGA-PBEsol)

Data for crystalline ZnCo2Ag at its relaxed geometry.

```
ZnCo2Ag
1.0
2.640 0.000 0.000
0.000 4.432 -0.010
-1.320 -0.883 4.319
Ag Co Zn
1 2 1
Direct
0.000 0.500 0.000
0.755 0.768 0.511
0.245 0.232 0.489
0.500 0.000 0.000
```

Results
The value obtained for the final energy is -4.855 eV/atom.

=====

## Zn2CoAg (GGA-PBEsol)

Data for crystalline Zn2CoAg at its relaxed geometry.

```
Zn2CoAg
1.0
2.809 0.000 0.000
0.000 2.809 0.000
0.000 0.000 6.662
Zn Co Ag
2 1 1
Direct
0.000 0.000 0.716
0.000 0.000 0.284
0.500 0.500 0.500
0.500 0.500 0.000
```

Results
The value obtained for the final energy is -3.594 eV/atom.

=====

## Zr2CoAg (GGA-PBEsol)

Data for crystalline Zr2CoAg at its relaxed geometry.

```
Zr2CoAg
1.0
-3.145 -0.351 0.753
-0.951 -0.974 -4.429
0.708 -4.498 0.859
Co Zr Ag
1 2 1
Direct
0.500 0.500 0.500
0.000 0.000 0.500
0.000 0.500 0.000
0.500 0.000 0.000
```

Results
For the energy above the lowest structure with this stoichiometry, the calculation gives 0.107 eV/atom.

=====

## ZrCo2Ag (GGA-PBEsol)

Data for crystalline ZrCo2Ag at its relaxed geometry.

```
ZrCo2Ag
1.0
-0.522 -3.912 1.686
1.564 0.431 -3.978
4.123 -0.891 -0.791
Ag Co Zr
1 2 1
Direct
0.500 0.000 0.500
0.750 0.500 0.750
0.250 0.500 0.250
0.000 0.000 0.000
```

Results
For the energy above the lowest structure with this stoichiometry, the calculation gives 0.000 eV/atom.

=====

## ZrCo4Ag (GGA-PBEsol)

Data for crystalline ZrCo4Ag at its relaxed geometry.

```
ZrCo4Ag
1.0
-3.279 -3.309 1.045
0.246 -4.323 -2.011
1.196 -3.795 2.638
Co Zr Ag
4 1 1
Direct
0.876 0.375 0.375
0.375 0.876 0.375
0.375 0.375 0.876
0.375 0.375 0.375
0.750 0.750 0.750
0.000 0.000 0.000
```

Results
The value obtained for the final energy is -7.368 eV/atom.

=====

## ZrCo2Ag (GGA-PBEsol)

Data for crystalline ZrCo2Ag at its relaxed geometry.

```
ZrCo2Ag
1.0
2.760 0.000 0.000
1.380 2.390 0.000
1.380 0.797 8.923
Co Zr Ag
2 1 1
Direct
0.260 0.260 0.219
0.992 0.992 0.024
0.506 0.506 0.482
0.742 0.742 0.775
```

Results
For the energy above the lowest structure with this stoichiometry, the calculation gives 0.292 eV/atom.

=====

## Zr4CoAg (GGA-PBEsol)

Data for crystalline Zr4CoAg at its relaxed geometry.

```
Zr4CoAg
1.0
-5.358 -0.973 0.804
-2.252 -4.679 -1.827
-1.588 -3.870 3.577
Co Zr Ag
1 4 1
Direct
0.000 0.000 0.000
0.374 0.374 0.374
0.878 0.374 0.374
0.374 0.374 0.878
0.374 0.878 0.374
0.750 0.750 0.750
```

Results
The value obtained for the final energy is -7.283 eV/atom.

=====

## Zr2CoAg (GGA-PBEsol)

Data for crystalline Zr2CoAg at its relaxed geometry.

```
Zr2CoAg
1.0
-2.175 -2.044 -0.421
2.086 -2.112 -0.522
0.150 -1.681 7.397
Ag Zr Co
1 2 1
Direct
0.500 0.500 0.000
0.000 0.000 0.718
0.000 0.000 0.282
0.500 0.500 0.500
```

Results
For the energy above the lowest structure with this stoichiometry, the calculation gives 0.000 eV/atom.

=====

## ZrCoAg (GGA-PBEsol)

Data for crystalline ZrCoAg at its relaxed geometry.

```
ZrCoAg
1.0
4.223 0.000 0.000
2.111 3.657 0.000
2.111 1.219 3.448
Ag Co Zr
1 1 1
Direct
0.500 0.500 0.500
0.250 0.250 0.250
0.000 0.000 0.000
```

Results
The value obtained for the final energy is -6.532 eV/atom.

=====

## Zr2CoAg (GGA-PBEsol)

Data for crystalline Zr2CoAg at its relaxed geometry.

```
Zr2CoAg
1.0
4.528 0.000 0.000
2.264 3.921 0.000
2.264 1.307 3.697
Ag Co Zr
1 1 2
Direct
0.500 0.500 0.500
0.250 0.250 0.250
0.750 0.750 0.750
0.000 0.000 0.000
```

Results
For the energy above the lowest structure with this stoichiometry, the calculation gives 0.233 eV/atom.

=====

## CrAg (GGA-PBEsol)

Data for crystalline CrAg at its relaxed geometry.

```
CrAg
1.0
-1.289 1.904 -1.482
0.939 -1.741 -3.053
-5.032 -3.194 0.273
Cr Ag
2 2
Direct
0.500 0.000 0.036
0.000 0.500 0.964
0.500 0.500 0.365
0.000 0.000 0.635
```

Results
The value obtained for the final energy is -6.122 eV/atom.

=====

## Cr3Ag2 (GGA-PBEsol)

Data for crystalline Cr3Ag2 at its relaxed geometry.

```
Cr3Ag2
1.0
2.785 0.000 0.000
1.393 2.412 0.000
1.393 0.804 10.736
Cr Ag
3 2
Direct
0.810 0.810 0.569
0.000 0.000 0.000
0.190 0.190 0.431
0.404 0.404 0.787
0.596 0.596 0.213
```

Results
The value obtained for the final energy is -6.878 eV/atom.